Compound: Sc2SiHg
Source: Alexandria
Functional: PBE
Structure: relaxed

Structure (CIF):
```
data_Sc2SiHg
_chemical_formula_sum 'Sc4 Si2 Hg2'
_symmetry_space_group_name_H-M 'C m m 2'
_symmetry_Int_Tables_number 35
_symmetry_space_group_name_Hall 'C 2 -2'
_cell_length_a 4.326
_cell_length_b 4.877
_cell_length_c 8.024
_cell_angle_alpha 90.00
_cell_angle_beta 90.00
_cell_angle_gamma 90.00
loop_
_atom_site_label
_atom_site_type_symbol
_atom_site_fract_x
_atom_site_fract_y
_atom_site_fract_z
Sc1 Sc 0.000 0.000 0.000
Sc2 Sc 0.000 0.500 0.293
Si1 Si 0.000 0.000 0.503
Hg1 Hg 0.000 0.500 0.742
```

Output
* N(E_F): 6.6 states/eV per cell
* total moment: 0.00 μB/f.u.
* calculated total energy: -18.76 eV per formula unit
* energy relative to the elements, uncorrected: -92 meV/atom

***

Compound: Sc2SiHg
Source: Alexandria
Functional: PBE
Structure: relaxed

Structure (CIF):
```
data_Sc2SiHg
_chemical_formula_sum 'Sc4 Si2 Hg2'
_symmetry_space_group_name_H-M 'C m m m'
_symmetry_Int_Tables_number 65
_symmetry_space_group_name_Hall '-C 2 2'
_cell_length_a 6.503
_cell_length_b 7.624
_cell_length_c 3.191
_cell_angle_alpha 90.00
_cell_angle_beta 90.00
_cell_angle_gamma 90.00
loop_
_atom_site_label
_atom_site_type_symbol
_atom_site_fract_x
_atom_site_fract_y
_atom_site_fract_z
Sc1 Sc 0.250 0.250 0.000
Si1 Si 0.000 0.000 0.500
Hg1 Hg 0.000 0.500 0.500
```

Output
* N(E_F): 5.8 states/eV per cell
* total moment: 0.00 μB/f.u.
* calculated total energy: -20.12 eV per formula unit
* energy relative to the elements, uncorrected: -433 meV/atom